# CrCoS2Cl

A geometry-optimized CrCoS2Cl structure (PBE, the Alexandria database).

## Properties
Formation energy from raw total energies: 26 kJ per mole of atoms
Excess energy over the best structure of this formula in the dataset: 0.0 meV per atom

The structure in CIF format:
```
data_CrCoS2Cl
_cell_length_a 4.4302
_cell_length_b 4.4302
_cell_length_c 4.6606
_cell_angle_alpha 90.00
_cell_angle_beta 90.00
_cell_angle_gamma 90.00
_space_group_name_H-M_alt 'P 1'
_space_group_IT_number 1
loop_
_space_group_symop_operation_xyz
'x,y,z'
loop_
_atom_site_label
_atom_site_type_symbol
_atom_site_fract_x
_atom_site_fract_y
_atom_site_fract_z
Cr1 Cr 0.0000 0.0000 0.0000
Co1 Co 0.5000 0.5000 0.5000
S1 S 0.0000 0.5000 0.5000
S2 S 0.5000 0.0000 0.5000
Cl1 Cl 0.5000 0.5000 0.0000
```

# Sr2CrCoCl

A geometry-optimized Sr2CrCoCl structure (PBE, the Alexandria database).

## Properties
Formation energy from raw total energies: -10 kJ per mole of atoms

The structure in CIF format:
```
data_Sr2CrCoCl
_cell_length_a 5.8507
_cell_length_b 5.8507
_cell_length_c 4.2532
_cell_angle_alpha 90.00
_cell_angle_beta 90.00
_cell_angle_gamma 90.00
_space_group_name_H-M_alt 'P 1'
_space_group_IT_number 1
loop_
_space_group_symop_operation_xyz
'x,y,z'
loop_
_atom_site_label
_atom_site_type_symbol
_atom_site_fract_x
_atom_site_fract_y
_atom_site_fract_z
Sr1 Sr 0.0000 0.5000 0.0000
Sr2 Sr 0.5000 0.0000 0.0000
Cr1 Cr 0.0000 0.0000 0.5000
Co1 Co 0.0000 0.0000 0.0000
Cl1 Cl 0.5000 0.5000 0.5000
```

# TlCrCo2Cl8

A geometry-optimized TlCrCo2Cl8 structure (PBE, the Alexandria database).

## Properties
Formation energy from raw total energies: -76 kJ per mole of atoms

The structure in CIF format:
```
data_TlCrCo2Cl8
_cell_length_a 10.1755
_cell_length_b 10.1755
_cell_length_c 10.1755
_cell_angle_alpha 35.14
_cell_angle_beta 35.14
_cell_angle_gamma 35.14
_space_group_name_H-M_alt 'P 1'
_space_group_IT_number 1
loop_
_space_group_symop_operation_xyz
'x,y,z'
loop_
_atom_site_label
_atom_site_type_symbol
_atom_site_fract_x
_atom_site_fract_y
_atom_site_fract_z
Tl1 Tl 0.0000 0.0000 0.0000
Cr1 Cr 0.5000 0.5000 0.5000
Co1 Co 0.2384 0.2384 0.2384
Co2 Co 0.7616 0.7616 0.7616
Cl1 Cl 0.1436 0.7689 0.4414
Cl2 Cl 0.2311 0.5586 0.8564
Cl3 Cl 0.3151 0.3151 0.3151
Cl4 Cl 0.4414 0.1436 0.7689
Cl5 Cl 0.5586 0.8564 0.2311
Cl6 Cl 0.6849 0.6849 0.6849
Cl7 Cl 0.7689 0.4414 0.1436
Cl8 Cl 0.8564 0.2311 0.5586
```

# Tl2CrCoCl

A geometry-optimized Tl2CrCoCl structure (PBE, the Alexandria database).

## Properties
Formation energy from raw total energies: 85 kJ per mole of atoms

The structure in CIF format:
```
data_Tl2CrCoCl
_cell_length_a 5.8370
_cell_length_b 5.8370
_cell_length_c 4.4947
_cell_angle_alpha 90.00
_cell_angle_beta 90.00
_cell_angle_gamma 90.00
_space_group_name_H-M_alt 'P 1'
_space_group_IT_number 1
loop_
_space_group_symop_operation_xyz
'x,y,z'
loop_
_atom_site_label
_atom_site_type_symbol
_atom_site_fract_x
_atom_site_fract_y
_atom_site_fract_z
Tl1 Tl 0.0000 0.5000 0.0000
Tl2 Tl 0.5000 0.0000 0.0000
Cr1 Cr 0.0000 0.0000 0.5000
Co1 Co 0.5000 0.5000 0.5000
Cl1 Cl 0.0000 0.0000 0.0000
```

# Cs4CoCl6

A geometry-optimized Cs4CoCl6 structure (PBE, the Alexandria database).

## Properties
Formation energy from raw total energies: -154 kJ per mole of atoms

The structure in CIF format:
```
data_Cs4CoCl6
_cell_length_a 8.7238
_cell_length_b 8.7238
_cell_length_c 17.3712
_cell_angle_alpha 106.73
_cell_angle_beta 106.73
_cell_angle_gamma 48.53
_space_group_name_H-M_alt 'P 1'
_space_group_IT_number 1
loop_
_space_group_symop_operation_xyz
'x,y,z'
loop_
_atom_site_label
_atom_site_type_symbol
_atom_site_fract_x
_atom_site_fract_y
_atom_site_fract_z
Cs1 Cs 0.1142 0.5840 0.0660
Cs2 Cs 0.2280 0.7720 0.5000
Cs3 Cs 0.2959 0.7894 0.8178
Cs4 Cs 0.4715 0.9430 0.1879
Cs5 Cs 0.5840 0.1142 0.5660
Cs6 Cs 0.7720 0.2280 0.0000
Cs7 Cs 0.7894 0.2959 0.3178
Cs8 Cs 0.9430 0.4715 0.6879
Co1 Co 0.0633 0.5202 0.3032
Co2 Co 0.5202 0.0633 0.8032
Cl1 Cl 0.1145 0.6626 0.6307
Cl2 Cl 0.2247 0.6338 0.2904
Cl3 Cl 0.2437 0.2560 0.8690
Cl4 Cl 0.2560 0.2437 0.3690
Cl5 Cl 0.3061 0.7661 0.0123
Cl6 Cl 0.4288 0.9519 0.6752
Cl7 Cl 0.6338 0.2247 0.7904
Cl8 Cl 0.6626 0.1145 0.1307
Cl9 Cl 0.7661 0.3061 0.5123
Cl10 Cl 0.7675 0.7939 0.8719
Cl11 Cl 0.7939 0.7675 0.3719
Cl12 Cl 0.9519 0.4288 0.1752
```

# Cs2CoCl6

A geometry-optimized Cs2CoCl6 structure (PBE, the Alexandria database).

## Properties
Formation energy from raw total energies: -104 kJ per mole of atoms

The structure in CIF format:
```
data_Cs2CoCl6
_cell_length_a 7.0228
_cell_length_b 7.0228
_cell_length_c 13.9655
_cell_angle_alpha 90.00
_cell_angle_beta 90.00
_cell_angle_gamma 90.00
_space_group_name_H-M_alt 'P 1'
_space_group_IT_number 1
loop_
_space_group_symop_operation_xyz
'x,y,z'
loop_
_atom_site_label
_atom_site_type_symbol
_atom_site_fract_x
_atom_site_fract_y
_atom_site_fract_z
Cs1 Cs 0.0000 0.0000 0.1649
Cs2 Cs 0.0000 0.0000 0.8351
Cs3 Cs 0.5000 0.5000 0.3351
Cs4 Cs 0.5000 0.5000 0.6649
Co1 Co 0.0000 0.0000 0.5000
Co2 Co 0.5000 0.5000 0.0000
Cl1 Cl 0.1606 0.1606 0.3847
Cl2 Cl 0.1606 0.1606 0.6153
Cl3 Cl 0.2245 0.7755 0.5000
Cl4 Cl 0.2755 0.2755 0.0000
Cl5 Cl 0.3394 0.6606 0.1153
Cl6 Cl 0.3394 0.6606 0.8847
Cl7 Cl 0.6606 0.3394 0.1153
Cl8 Cl 0.6606 0.3394 0.8847
Cl9 Cl 0.7245 0.7245 0.0000
Cl10 Cl 0.7755 0.2245 0.5000
Cl11 Cl 0.8394 0.8394 0.3847
Cl12 Cl 0.8394 0.8394 0.6153
```

# Cs2CoCl4

A geometry-optimized Cs2CoCl4 structure (PBE, the Alexandria database).

## Properties
Formation energy from raw total energies: -139 kJ per mole of atoms

The structure in CIF format:
```
data_Cs2CoCl4
_cell_length_a 9.9403
_cell_length_b 7.4968
_cell_length_c 13.2610
_cell_angle_alpha 90.00
_cell_angle_beta 90.00
_cell_angle_gamma 90.00
_space_group_name_H-M_alt 'P 1'
_space_group_IT_number 1
loop_
_space_group_symop_operation_xyz
'x,y,z'
loop_
_atom_site_label
_atom_site_type_symbol
_atom_site_fract_x
_atom_site_fract_y
_atom_site_fract_z
Cs1 Cs 0.0197 0.2500 0.1748
Cs2 Cs 0.1401 0.7500 0.4070
Cs3 Cs 0.3599 0.2500 0.9070
Cs4 Cs 0.4803 0.7500 0.6748
Cs5 Cs 0.5197 0.2500 0.3252
Cs6 Cs 0.6401 0.7500 0.0930
Cs7 Cs 0.8599 0.2500 0.5930
Cs8 Cs 0.9803 0.7500 0.8252
Co1 Co 0.2356 0.7500 0.0767
Co2 Co 0.2644 0.2500 0.5767
Co3 Co 0.7356 0.7500 0.4233
Co4 Co 0.7644 0.2500 0.9233
Cl1 Cl 0.0098 0.7500 0.0955
Cl2 Cl 0.1765 0.0038 0.6491
Cl3 Cl 0.1765 0.4962 0.6491
Cl4 Cl 0.1899 0.2500 0.4151
Cl5 Cl 0.3101 0.7500 0.9151
Cl6 Cl 0.3235 0.5038 0.1491
Cl7 Cl 0.3235 0.9962 0.1491
Cl8 Cl 0.4902 0.2500 0.5955
Cl9 Cl 0.5098 0.7500 0.4045
Cl10 Cl 0.6765 0.0038 0.8509
Cl11 Cl 0.6765 0.4962 0.8509
Cl12 Cl 0.6899 0.2500 0.0849
Cl13 Cl 0.8101 0.7500 0.5849
Cl14 Cl 0.8235 0.5038 0.3509
Cl15 Cl 0.8235 0.9962 0.3509
Cl16 Cl 0.9902 0.2500 0.9045
```

# Cs3CoCl5

A geometry-optimized Cs3CoCl5 structure (PBE, the Alexandria database).

## Properties
Formation energy from raw total energies: -151 kJ per mole of atoms

The structure in CIF format:
```
data_Cs3CoCl5
_cell_length_a 9.9147
_cell_length_b 9.9147
_cell_length_c 9.9147
_cell_angle_alpha 123.00
_cell_angle_beta 123.00
_cell_angle_gamma 84.87
_space_group_name_H-M_alt 'P 1'
_space_group_IT_number 1
loop_
_space_group_symop_operation_xyz
'x,y,z'
loop_
_atom_site_label
_atom_site_type_symbol
_atom_site_fract_x
_atom_site_fract_y
_atom_site_fract_z
Cs1 Cs 0.1683 0.6683 0.8365
Cs2 Cs 0.2500 0.2500 0.0000
Cs3 Cs 0.3317 0.1683 0.5000
Cs4 Cs 0.6683 0.8317 0.5000
Cs5 Cs 0.7500 0.7500 0.0000
Cs6 Cs 0.8317 0.3317 0.1635
Co1 Co 0.2500 0.7500 0.5000
Co2 Co 0.7500 0.2500 0.5000
Cl1 Cl 0.0000 0.0000 0.0000
Cl2 Cl 0.0225 0.7937 0.5000
Cl3 Cl 0.2063 0.7063 0.2287
Cl4 Cl 0.2937 0.5225 0.5000
Cl5 Cl 0.4775 0.9775 0.7713
Cl6 Cl 0.5000 0.5000 0.0000
Cl7 Cl 0.5225 0.0225 0.2287
Cl8 Cl 0.7063 0.4775 0.5000
Cl9 Cl 0.7937 0.2937 0.7713
Cl10 Cl 0.9775 0.2063 0.5000
```

no.,ρ (g/cm³),calculated volume (A^3/atom)
1,3.82,18.29
2,3.67,29.12
3,3.50,25.98
4,6.02,30.63
5,2.84,42.72
6,2.59,38.27
7,3.14,35.29
8,3.22,36.39